Computed, not measured: a relaxed CrGaGeAs2 crystal at the PBE level of DFT.

Energy of formation from the pure elements, meV/atom: 1169.3
Space group: P4/mmm (123)
VASP energy, eV/atom: -4.144

abc: 4.883 4.609 4.883
angles: 90.00 90.00 90.00
Last column: magnetic moment on the atom in μB.
Positions (direct):
1 Ga 0.000 0.000 0.000  0.00
2 As 0.500 0.000 0.000  -0.04
3 As 0.000 0.000 0.500  -0.02
4 Ge 0.500 0.500 0.500  0.04
5 Cr 0.000 0.500 0.000  -0.13

---

Computed, not measured: a relaxed KTcW2 crystal at the PBE level of DFT.

Energy above the lowest structure with this stoichiometry, kJ/mol of formula units: 465
Energy of formation from the pure elements, meV/atom: 1961.8
Space group: I4_1/amd (141)
VASP energy, eV/atom: -7.381

abc: 5.116 5.116 9.277
angles: 73.99 73.99 90.00
Positions (direct):
1 Tc 0.750 0.250 0.500
2 Tc 0.000 0.000 0.000
3 W 0.875 0.125 0.250
4 W 0.875 0.625 0.250
5 W 0.375 0.125 0.750
6 W 0.875 0.125 0.750
7 K 0.250 0.750 0.500
8 K 0.500 0.500 0.000

---

Computed, not measured: a relaxed Zr3BiH crystal at the PBE level of DFT.

Energy above the lowest structure with this stoichiometry, kJ/mol of formula units: 120
Space group: P6_3/mmc (194)
VASP energy, eV/atom: -6.668

abc: 3.424 3.424 19.925
angles: 90.00 90.00 120.00
Positions (direct):
1 Zr 0.667 0.333 0.126
2 Zr 0.000 0.000 0.750
3 Zr 0.000 0.000 0.250
4 Zr 0.667 0.333 0.374
5 Zr 0.333 0.667 0.626
6 Zr 0.333 0.667 0.874
7 H 0.333 0.667 0.750
8 H 0.667 0.333 0.250
9 Bi 0.000 0.000 0.500
10 Bi 0.000 0.000 0.000

---

Computed, not measured: a relaxed SrMg14Bi crystal at the PBE level of DFT.

Energy above the lowest structure with this stoichiometry, kJ/mol of formula units: 49
Energy of formation from the pure elements, meV/atom: 13.0
Space group: P-6m2 (187)
VASP energy, eV/atom: -1.730

abc: 6.657 6.657 10.529
angles: 90.00 90.00 120.00
Positions (direct):
1 Mg 0.990 0.495 0.500
2 Mg 0.505 0.495 0.500
3 Mg 0.654 0.827 0.740
4 Mg 0.667 0.333 0.758
5 Mg 0.494 0.506 0.000
6 Mg 0.013 0.506 0.000
7 Mg 0.494 0.987 0.000
8 Mg 0.667 0.333 0.242
9 Mg 0.173 0.827 0.740
10 Mg 0.173 0.827 0.260
11 Mg 0.505 0.010 0.500
12 Mg 0.654 0.827 0.260
13 Mg 0.173 0.346 0.740
14 Mg 0.173 0.346 0.260
15 Bi 0.000 0.000 0.500
16 Sr 0.000 0.000 0.000

---

Computed, not measured: a relaxed TbNd3S4 crystal at the PBE level of DFT.

Energy above the lowest structure with this stoichiometry, kJ/mol of formula units: 17
Space group: Pm-3m (221)
VASP energy, eV/atom: -6.430

abc: 5.710 5.710 5.710
angles: 90.00 90.00 90.00
Positions (direct):
1 Tb 0.000 0.000 0.000
2 Nd 0.500 0.000 0.500
3 Nd 0.000 0.500 0.500
4 Nd 0.500 0.500 0.000
5 S 0.000 0.000 0.500
6 S 0.500 0.000 0.000
7 S 0.000 0.500 0.000
8 S 0.500 0.500 0.500

---

Computed, not measured: a relaxed Tb4HgAuO crystal at the PBE level of DFT.

Space group: Cmcm (63)
VASP energy, eV/atom: -5.058

abc: 6.679 6.670 8.239
angles: 90.00 113.91 90.00
Positions (direct):
1 Tb 0.500 0.000 0.500
2 Tb 0.500 0.500 0.500
3 Tb 0.576 0.250 0.152
4 Tb 0.000 0.000 0.500
5 Tb 0.424 0.750 0.848
6 Tb 0.935 0.250 0.870
7 Tb 0.000 0.500 0.500
8 Tb 0.065 0.750 0.130
9 O 0.255 0.750 0.510
10 O 0.745 0.250 0.490
11 Au 0.878 0.750 0.757
12 Au 0.122 0.250 0.243
13 Hg 0.383 0.250 0.765
14 Hg 0.617 0.750 0.235